A relaxed structure of LaNdZr, computed with GGA-PBE.

The structure in POSCAR format:
```
LaNdZr
1.0
-1.8611 2.9544 -1.6506
-3.2353 -1.0006 1.8569
3.2892 7.5453 9.7966
Zr Nd La
2 2 2
direct
0.0000 0.5000 0.9504
0.5000 0.0000 0.0496
0.5000 0.0000 0.7948
0.0000 0.5000 0.2052
0.0000 0.5000 0.6007
0.5000 0.0000 0.3993
```

The total magnetic moment comes out at 0.00 μB/f.u. The energy is -0.22016 Ha/atom. Its formation energy is 0.09 eV per atom. For the relative energy among the computed polymorphs, the calculation gives 0.000 eV per atom. Its space group is P4/nmm, No. 129.

---

A relaxed structure of LaNdZr, computed with GGA-PBE.

The structure in POSCAR format:
```
LaNdZr
1.0
3.4463 0.0000 0.0000
0.0000 3.4463 0.0000
-1.7231 -1.7231 7.7808
Nd La Zr
1 1 1
direct
0.9864 0.9864 0.9728
0.6785 0.6785 0.3571
0.3351 0.3351 0.6701
```

The total magnetic moment comes out at 0.00 μB/f.u. The energy is -0.21886 Ha/atom. Its formation energy is 0.13 eV per atom. For the relative energy among the computed polymorphs, the calculation gives 0.035 eV per atom. Its space group is I4mm, No. 107.

---

A relaxed structure of La2NdZr, computed with GGA-PBE.

The structure in POSCAR format:
```
La2NdZr
1.0
-0.3075 -2.6438 3.1590
3.9067 -1.1917 -0.6170
2.3787 5.3570 4.7149
Zr Nd La
1 1 2
direct
0.5000 0.5000 0.0000
0.5000 0.5000 0.5000
0.0000 0.0000 0.7794
0.0000 0.0000 0.2206
```

The total magnetic moment comes out at 0.00 μB/f.u. The energy is -0.20673 Ha/atom. Its formation energy is 0.17 eV per atom. For the relative energy among the computed polymorphs, the calculation gives 0.036 eV per atom. Its space group is P4/mmm, No. 123.

---

| no. | DOS(E_F) (states/eV/f.u.) |
| --- | --- |
| 1 | 4.859 |
| 2 | 3.935 |
| 3 | 5.092 |